(1)
The following is a DFT calculation (GGA-PBE) of a relaxed Ac2CoSb crystal.

abc: 9.798 9.798 9.798
angles: 26.48 26.48 26.48
Fractional coordinates of all 4 atoms:
Ac: 0.095 0.095 0.095
Ac: 0.905 0.905 0.905
Co: 0.000 0.000 0.000
Sb: 0.500 0.500 0.500

***

(2)
The following is a DFT calculation (GGA-PBE) of a relaxed NaBePO4 crystal.

abc: 8.227 7.894 16.536
angles: 90.00 119.76 90.00
Fractional coordinates of all 84 atoms:
Na: 0.002 0.000 0.250
Na: 0.002 0.500 0.750
Na: 0.297 0.032 0.068
Na: 0.297 0.468 0.568
Na: 0.358 0.028 0.587
Na: 0.358 0.472 0.087
Na: 0.642 0.528 0.913
Na: 0.642 0.972 0.413
Na: 0.703 0.532 0.432
Na: 0.703 0.968 0.932
Na: 0.998 0.000 0.750
Na: 0.998 0.500 0.250
Be: 0.017 0.169 0.419
Be: 0.017 0.331 0.919
Be: 0.320 0.168 0.241
Be: 0.320 0.332 0.741
Be: 0.342 0.668 0.410
Be: 0.342 0.832 0.910
Be: 0.658 0.168 0.090
Be: 0.658 0.332 0.590
Be: 0.680 0.668 0.259
Be: 0.680 0.832 0.759
Be: 0.983 0.669 0.081
Be: 0.983 0.831 0.581
P: 0.025 0.710 0.919
P: 0.025 0.790 0.419
P: 0.319 0.714 0.738
P: 0.319 0.786 0.238
P: 0.340 0.210 0.909
P: 0.340 0.290 0.409
P: 0.660 0.710 0.591
P: 0.660 0.790 0.091
P: 0.681 0.214 0.762
P: 0.681 0.286 0.262
P: 0.975 0.210 0.581
P: 0.975 0.290 0.081
O: 0.069 0.248 0.522
O: 0.069 0.252 0.022
O: 0.099 0.525 0.935
O: 0.099 0.975 0.435
O: 0.119 0.234 0.686
O: 0.119 0.266 0.186
O: 0.128 0.224 0.877
O: 0.128 0.276 0.377
O: 0.193 0.669 0.448
O: 0.193 0.831 0.948
O: 0.209 0.667 0.153
O: 0.209 0.833 0.653
O: 0.252 0.734 0.810
O: 0.252 0.766 0.310
O: 0.280 0.529 0.702
O: 0.280 0.971 0.202
O: 0.382 0.028 0.891
O: 0.382 0.472 0.391
O: 0.392 0.166 0.353
O: 0.392 0.334 0.853
O: 0.456 0.247 0.514
O: 0.456 0.253 0.014
O: 0.469 0.249 0.214
O: 0.469 0.251 0.714
O: 0.531 0.749 0.286
O: 0.531 0.751 0.786
O: 0.544 0.747 0.986
O: 0.544 0.753 0.486
O: 0.608 0.666 0.147
O: 0.608 0.834 0.647
O: 0.618 0.528 0.609
O: 0.618 0.972 0.109
O: 0.720 0.029 0.798
O: 0.720 0.471 0.298
O: 0.748 0.234 0.690
O: 0.748 0.266 0.190
O: 0.791 0.167 0.347
O: 0.791 0.333 0.847
O: 0.807 0.169 0.052
O: 0.807 0.331 0.552
O: 0.872 0.724 0.623
O: 0.872 0.776 0.123
O: 0.881 0.734 0.814
O: 0.881 0.766 0.314
O: 0.901 0.025 0.565
O: 0.901 0.475 0.065
O: 0.931 0.748 0.978
O: 0.931 0.752 0.478

***

(3)
The following is a DFT calculation (GGA-PBE) of a relaxed FeSb crystal.

abc: 4.330 4.330 6.559
angles: 105.25 105.25 44.32
Fractional coordinates of all 4 atoms:
Fe: 0.132 0.132 0.433
Fe: 0.868 0.868 0.567
Sb: 0.372 0.372 0.231
Sb: 0.628 0.628 0.769

***

(4)
The following is a DFT calculation (GGA-PBE) of a relaxed Cs3SnF7 crystal.

abc: 6.657 6.657 7.293
angles: 117.32 117.32 87.10
Fractional coordinates of all 11 atoms:
Cs: 0.000 0.000 0.000
Cs: 0.267 0.752 0.551
Cs: 0.752 0.267 0.551
Sn: 0.546 0.546 0.103
F: 0.239 0.513 0.812
F: 0.379 0.379 0.184
F: 0.393 0.825 0.229
F: 0.513 0.239 0.812
F: 0.717 0.717 0.031
F: 0.781 0.781 0.472
F: 0.825 0.393 0.229

***

The records above yield calculated total energy values of -4.5464; -6.7942; -6.1466; -4.4905 eV/atom, respectively.
The records above yield E_form (uncorrected) values of 30.4; -238.1; 14.1; -260.8 kJ per mole of atoms, respectively.